VASP calculation (GGA+U) on crystalline CaNi2O5 at its relaxed geometry.

Total DFT energy (no corrections) in eV/atom: -5.13
D(E_F) in states/eV per cell: 5.73

a b c (Å): 3.6805 10.6712 5.5317
angles (deg): 90.00 90.00 90.00
Closest atoms and distances in Å follow each position.
Space group Pmmn (No. 59, origin choice 2)
Inequivalent atoms, fractional coordinates:
Ca 0.2500 0.2500 0.0763 x2  6 O 2.29-2.44
Ni 0.2500 0.6010 0.5059 x4  5 O 1.85-1.99
O 0.2500 0.0681 0.4001 x4  3 Ni 1.90-1.94
O 0.2500 0.6812 0.1813 x4  1 O 1.47
O 0.2500 0.7500 0.6759 x2  2 Ni 1.85